Record 1
## ScNi2Sb (meta-GGA SCAN)

Data for a crystal of ScNi2Sb relaxed with PBEsol.

total magnetic moment	0.00	μB/f.u.
E	-21.21	eV/atom
DOS at the Fermi energy	0.415	states/eV/atom
E_form (uncorrected)	-1.00	eV/f.u.

Cell lengths 3.2500, 3.5089, 5.5150 Å; angles 90.00, 90.00, 90.00 degrees
Last column: nearest neighbours and their distance in Å.
Sites, in units of the cell vectors:
Ni  0.0000  0.0000  0.9958  1 Sb 2.51, 4 Sc 2.63, 4 Ni 2.80
Ni  0.5000  0.5000  0.2582  1 Sc 2.55, 4 Sb 2.62, 4 Ni 2.80
Sb  0.0000  0.0000  0.4503  5 Ni 2.51-2.62
Sc  0.5000  0.5000  0.7957  5 Ni 2.55-2.63

Record 2
## Sc2NiSb (meta-GGA SCAN)

Data for a crystal of Sc2NiSb relaxed with PBEsol.

total magnetic moment	0.00	μB/f.u.
E	-21.01	eV/atom
DOS at the Fermi energy	0.620	states/eV/atom
E_form (uncorrected)	-2.13	eV/f.u.

Cell lengths 3.3746, 3.3746, 6.6290 Å; angles 90.00, 90.00, 93.43 degrees
Last column: nearest neighbours and their distance in Å.
Sites, in units of the cell vectors:
Ni  0.5000  0.5000  0.5000  8 Sc 2.74-2.86
Sb  0.5000  0.5000  0.0000  8 Sc 2.96-3.07, 2 Ni 3.31
Sc  0.0000  0.0000  0.2788  4 Ni 2.74-2.86, 1 Sc 2.93, 2 Sb 2.96
Sc  0.0000  0.0000  0.7212  4 Ni 2.74-2.86, 1 Sc 2.93, 2 Sb 2.96

Record 3
## ScNi2Sb (meta-GGA SCAN)

Data for a crystal of ScNi2Sb relaxed with PBEsol.

total magnetic moment	0.00	μB/f.u.
E	-21.03	eV/atom
DOS at the Fermi energy	0.454	states/eV/atom
E_form (uncorrected)	-0.27	eV/f.u.

Cell lengths 3.0542, 5.0437, 5.0437 Å; angles 112.08, 105.22, 105.22 degrees
Last column: nearest neighbours and their distance in Å.
Sites, in units of the cell vectors:
Ni  0.0000  0.5000  0.0000  2 Sb 2.58, 2 Sc 2.58, 2 Ni 2.82
Ni  0.0000  0.0000  0.5000  2 Sc 2.58, 2 Sb 2.58, 2 Ni 2.82
Sb  0.5000  0.0000  0.0000  4 Ni 2.58, 2 Sc 2.82
Sc  0.5000  0.5000  0.5000  4 Ni 2.58, 2 Sb 2.82

Record 4
## NiSb2Se (meta-GGA SCAN)

Data for a crystal of NiSb2Se relaxed with PBEsol.

total magnetic moment	0.00	μB/f.u.
E	-27.50	eV/atom
DOS at the Fermi energy	0.547	states/eV/atom
E_form (uncorrected)	0.78	eV/f.u.

Cell lengths 3.0633, 3.0633, 8.8589 Å; angles 90.00, 90.00, 89.93 degrees
Last column: nearest neighbours and their distance in Å.
Sites, in units of the cell vectors:
Ni  0.5000  0.5000  0.2823  4 Se 2.46-2.47
Sb  0.0000  0.0000  0.0623  4 Ni 2.91, 4 Sb 3.06, 1 Se 3.13
Sb  0.5000  0.5000  0.7403  4 Sb 3.06
Se  0.0000  0.0000  0.4151  4 Ni 2.46-2.47

Record 5
## Ni2SbSe (meta-GGA SCAN)

Data for a crystal of Ni2SbSe relaxed with PBEsol.

total magnetic moment	0.00	μB/f.u.
E	-22.33	eV/atom
DOS at the Fermi energy	0.651	states/eV/atom
E_form (uncorrected)	0.38	eV/f.u.

Cell lengths 3.3518, 3.3795, 5.8789 Å; angles 89.99, 90.00, 90.00 degrees
Last column: nearest neighbours and their distance in Å.
Sites, in units of the cell vectors:
Ni  0.0000  0.4999  0.7103  2 Se 2.39, 1 Ni 2.47
Ni  0.0000  0.5001  0.2897  2 Se 2.39, 1 Ni 2.47
Sb  0.5000  0.0000  0.5000  8 Ni 2.68
Se  0.5000  0.5000  0.0000  4 Ni 2.39

Record 6
## Ni2SbSe (meta-GGA SCAN)

Data for a crystal of Ni2SbSe relaxed with PBEsol.

total magnetic moment	0.00	μB/f.u.
E	-22.16	eV/atom
DOS at the Fermi energy	0.450	states/eV/atom
E_form (uncorrected)	1.03	eV/f.u.

Cell lengths 3.2469, 4.3360, 4.3360 Å; angles 92.26, 90.00, 90.00 degrees
Last column: nearest neighbours and their distance in Å.
Sites, in units of the cell vectors:
Ni  0.0000  0.0000  0.5000  4 Se 2.71, 4 Sb 2.71, 2 Ni 3.00
Ni  0.0000  0.5000  0.0000  4 Sb 2.71, 4 Se 2.71, 2 Ni 3.00
Sb  0.5000  0.0000  0.0000  8 Ni 2.71, 2 Se 3.00
Se  0.5000  0.5000  0.5000  8 Ni 2.71, 2 Sb 3.00

Record 7
## Ni2SbSe (meta-GGA SCAN)

Data for a crystal of Ni2SbSe relaxed with PBEsol.

total magnetic moment	0.00	μB/f.u.
E	-22.64	eV/atom
DOS at the Fermi energy	0.551	states/eV/atom
E_form (uncorrected)	-0.87	eV/f.u.

Cell lengths 3.7231, 3.9005, 5.0494 Å; angles 94.92, 90.00, 118.51 degrees
Last column: nearest neighbours and their distance in Å.
Sites, in units of the cell vectors:
Sb  0.5407  0.0814  0.4976  6 Ni 2.50-2.65
Se  0.2252  0.4505  0.9831  5 Ni 2.40-2.50
Ni  0.8935  0.7869  0.7649  3 Se 2.43-2.50, 2 Ni 2.53-2.57, 3 Sb 2.56-2.65
Ni  0.8406  0.6812  0.2544  2 Se 2.40, 3 Sb 2.50-2.55, 2 Ni 2.53-2.57

Record 8
## NiSb2Se (meta-GGA SCAN)

Data for a crystal of NiSb2Se relaxed with PBEsol.

total magnetic moment	0.00	μB/f.u.
E	-27.68	eV/atom
DOS at the Fermi energy	0.081	states/eV/atom
E_form (uncorrected)	0.07	eV/f.u.

Cell lengths 5.9448, 5.9448, 7.2834 Å; angles 114.09, 114.09, 90.00 degrees
Last column: nearest neighbours and their distance in Å.
Sites, in units of the cell vectors:
Sb  0.4389  0.8750  0.2500  2 Ni 2.38
Sb  0.8111  0.3750  0.2500  2 Ni 2.38
Sb  0.1250  0.1889  0.7500  2 Ni 2.38
Sb  0.6250  0.5611  0.7500  2 Ni 2.38
Se  0.2500  0.7500  0.5000  4 Sb 2.81
Se  0.0000  0.0000  0.0000  4 Sb 2.81
Ni  0.7500  0.2500  0.5000  4 Sb 2.38
Ni  0.5000  0.5000  0.0000  4 Sb 2.38

Record 9
## TiNi2SbSe (meta-GGA SCAN)

Data for a crystal of TiNi2SbSe relaxed with PBEsol.

total magnetic moment	0.95	μB/f.u.
E	-20.42	eV/atom
DOS at the Fermi energy	0.592	states/eV/atom
E_form (uncorrected)	3.62	eV/f.u.

Cell lengths 4.5252, 4.5252, 5.1116 Å; angles 90.00, 90.00, 90.00 degrees
Last column: nearest neighbours and their distance in Å.
Sites, in units of the cell vectors:
Sb  0.0000  0.0000  0.0000  4 Ni 2.26
Ti  0.0000  0.0000  0.5000  2 Sb 2.56
Se  0.5000  0.5000  0.5000  4 Ti 3.20, 8 Ni 3.41
Ni  0.0000  0.5000  0.0000  2 Sb 2.26
Ni  0.5000  0.0000  0.0000  2 Sb 2.26

Record 10
## SiNiSb (meta-GGA SCAN)

Data for a crystal of SiNiSb relaxed with PBEsol.

total magnetic moment	0.00	μB/f.u.
E	-21.07	eV/atom
DOS at the Fermi energy	0.372	states/eV/atom
E_form (uncorrected)	0.24	eV/f.u.

Cell lengths 3.9901, 3.9901, 6.3461 Å; angles 90.00, 90.00, 90.00 degrees
Last column: nearest neighbours and their distance in Å.
Sites, in units of the cell vectors:
Si  0.0000  0.5000  0.7976  4 Ni 2.37
Si  0.5000  0.0000  0.2024  4 Ni 2.37
Ni  0.0000  0.0000  0.0000  4 Si 2.37
Ni  0.5000  0.5000  0.0000  4 Si 2.37
Sb  0.0000  0.5000  0.3144  4 Ni 2.82, 5 Si 2.91-3.07
Sb  0.5000  0.0000  0.6856  4 Ni 2.82, 5 Si 2.91-3.07

Record 11
## SiNi6Sb (meta-GGA SCAN)

Data for a crystal of SiNi6Sb relaxed with PBEsol.

total magnetic moment	0.00	μB/f.u.
E	-18.29	eV/atom
DOS at the Fermi energy	0.411	states/eV/atom
E_form (uncorrected)	-2.04	eV/f.u.

Cell lengths 6.1781, 6.1781, 10.1373 Å; angles 90.00, 90.00, 109.61 degrees
Last column: nearest neighbours and their distance in Å.
Sites, in units of the cell vectors:
Ni  0.2546  0.7454  0.7616  2 Si 2.42-2.48, 8 Ni 2.42-2.63, 2 Sb 2.57-2.65
Ni  0.8698  0.6152  0.8812  8 Ni 2.41-2.57, 3 Si 2.45-2.51, 1 Sb 2.58
Ni  0.1302  0.3848  0.8812  8 Ni 2.41-2.57, 3 Si 2.45-2.51, 1 Sb 2.58
Ni  0.7454  0.2546  0.7616  2 Si 2.42-2.48, 8 Ni 2.42-2.63, 2 Sb 2.57-2.65
Ni  0.3848  0.1302  0.8812  8 Ni 2.41-2.57, 3 Si 2.45-2.51, 1 Sb 2.58
Ni  0.6152  0.8698  0.8812  8 Ni 2.41-2.57, 3 Si 2.45-2.51, 1 Sb 2.58
Ni  0.5000  0.5000  0.5000  8 Ni 2.50, 2 Sb 2.56, 2 Si 2.61
Ni  0.1384  0.3829  0.6327  1 Si 2.46, 8 Ni 2.47-2.69, 3 Sb 2.54-2.61
Ni  0.3829  0.1384  0.6327  1 Si 2.46, 8 Ni 2.47-2.69, 3 Sb 2.54-2.61
Ni  0.2546  0.7454  0.2384  2 Si 2.42-2.48, 8 Ni 2.42-2.63, 2 Sb 2.57-2.65
Ni  0.8616  0.6171  0.3673  1 Si 2.46, 8 Ni 2.47-2.69, 3 Sb 2.54-2.61
Ni  0.1384  0.3829  0.3673  1 Si 2.46, 8 Ni 2.47-2.69, 3 Sb 2.54-2.61
Ni  0.7454  0.2546  0.2384  2 Si 2.42-2.48, 8 Ni 2.42-2.63, 2 Sb 2.57-2.65
Ni  0.3829  0.1384  0.3673  1 Si 2.46, 8 Ni 2.47-2.69, 3 Sb 2.54-2.61
Ni  0.6171  0.8616  0.3673  1 Si 2.46, 8 Ni 2.47-2.69, 3 Sb 2.54-2.61
Ni  0.5000  0.5000  0.0000  4 Si 2.45-2.54, 8 Ni 2.47
Ni  0.1302  0.3848  0.1188  8 Ni 2.41-2.57, 3 Si 2.45-2.51, 1 Sb 2.58
Ni  0.3848  0.1302  0.1188  8 Ni 2.41-2.57, 3 Si 2.45-2.51, 1 Sb 2.58
Ni  0.0000  0.0000  0.5000  4 Sb 2.49-2.58, 8 Ni 2.60
Ni  0.6171  0.8616  0.6327  1 Si 2.46, 8 Ni 2.47-2.69, 3 Sb 2.54-2.61
Ni  0.8616  0.6171  0.6327  1 Si 2.46, 8 Ni 2.47-2.69, 3 Sb 2.54-2.61
Ni  0.0000  0.0000  0.0000  2 Sb 2.49, 2 Si 2.50, 8 Ni 2.54
Ni  0.6152  0.8698  0.1188  8 Ni 2.41-2.57, 3 Si 2.45-2.51, 1 Sb 2.58
Ni  0.8698  0.6152  0.1188  8 Ni 2.41-2.57, 3 Si 2.45-2.51, 1 Sb 2.58
Sb  0.2466  0.7534  0.5000  12 Ni 2.49-2.65
Sb  0.7534  0.2466  0.5000  12 Ni 2.49-2.65
Sb  0.0000  0.0000  0.7545  12 Ni 2.49-2.58
Sb  0.0000  0.0000  0.2455  12 Ni 2.49-2.58
Si  0.2481  0.7519  0.0000  12 Ni 2.42-2.54
Si  0.7519  0.2481  0.0000  12 Ni 2.42-2.54
Si  0.5000  0.5000  0.7579  12 Ni 2.45-2.61
Si  0.5000  0.5000  0.2421  12 Ni 2.45-2.61

Record 12
## SiNiSb3 (meta-GGA SCAN)

Data for a crystal of SiNiSb3 relaxed with PBEsol.

total magnetic moment	0.00	μB/f.u.
E	-26.94	eV/atom
DOS at the Fermi energy	0.811	states/eV/atom
E_form (uncorrected)	3.25	eV/f.u.

Cell lengths 4.8955, 4.8955, 4.8955 Å; angles 90.00, 90.00, 90.00 degrees
Last column: nearest neighbours and their distance in Å.
Sites, in units of the cell vectors:
Sb  0.0000  0.5000  0.0000  2 Ni 2.45
Sb  0.0000  0.0000  0.5000  2 Ni 2.45
Sb  0.5000  0.0000  0.0000  2 Ni 2.45
Si  0.5000  0.5000  0.5000  12 Sb 3.46
Ni  0.0000  0.0000  0.0000  6 Sb 2.45

Record 13
## SiNiSb2 (meta-GGA SCAN)

Data for a crystal of SiNiSb2 relaxed with PBEsol.

total magnetic moment	0.00	μB/f.u.
E	-24.73	eV/atom
DOS at the Fermi energy	0.495	states/eV/atom
E_form (uncorrected)	1.80	eV/f.u.

Cell lengths 3.1880, 3.1880, 7.3307 Å; angles 90.00, 90.00, 89.91 degrees
Last column: nearest neighbours and their distance in Å.
Sites, in units of the cell vectors:
Ni  0.5000  0.5000  0.0000  8 Sb 2.77-2.78
Sb  0.0000  0.0000  0.2209  4 Ni 2.77-2.78, 4 Si 3.04-3.05
Sb  0.0000  0.0000  0.7791  4 Ni 2.77-2.78, 4 Si 3.04-3.05
Si  0.5000  0.5000  0.5000  8 Sb 3.04-3.05, 4 Si 3.19

Record 14
## Si2NiSb (meta-GGA SCAN)

Data for a crystal of Si2NiSb relaxed with PBEsol.

total magnetic moment	0.00	μB/f.u.
E	-18.02	eV/atom
DOS at the Fermi energy	0.481	states/eV/atom
E_form (uncorrected)	1.39	eV/f.u.

Cell lengths 3.6358, 3.6322, 5.5038 Å; angles 108.61, 108.63, 91.87 degrees
Last column: nearest neighbours and their distance in Å.
Sites, in units of the cell vectors:
Ni  0.0000  0.5000  0.0000  4 Sb 2.53-2.61, 4 Si 2.77
Sb  0.5000  0.0000  0.0000  4 Ni 2.53-2.61, 4 Si 2.77
Si  0.5000  0.5000  0.5000  4 Si 2.53-2.61, 2 Sb 2.77, 2 Ni 2.77
Si  0.0000  0.0000  0.5000  4 Si 2.53-2.61, 2 Sb 2.77, 2 Ni 2.77